No. 1
# CoSO4 (GGA+U, optimized geometry)
# Total energy, eV per atom: -6.078
# D(E_F), states/eV/cell: 0.0
data_CoSO4
_chemical_formula_sum 'Co2 S2 O8'
_symmetry_space_group_name_H-M 'P 1 21/m 1'
_symmetry_Int_Tables_number 11
_cell_length_a 4.640
_cell_length_b 6.872
_cell_length_c 5.100
_cell_angle_alpha 90.00
_cell_angle_beta 99.71
_cell_angle_gamma 90.00
loop_
_symmetry_equiv_pos_as_xyz
'x,y,z'
'-x,-y,-z'
'-x,y+1/2,-z'
'x,-y+1/2,z'
loop_
_atom_site_label
_atom_site_fract_x
_atom_site_fract_y
_atom_site_fract_z
Co1 0.000 0.000 0.000
S1 0.382 0.250 0.845
O1 0.265 0.068 0.712
O2 0.275 0.250 0.114
O3 0.289 0.750 0.120

No. 2
# CoSO3 (GGA+U, optimized geometry)
# Total energy, eV per atom: -4.808
# D(E_F), states/eV/cell: 1.7
data_CoSO3
_chemical_formula_sum 'Co1 S1 O3'
_symmetry_space_group_name_H-M 'P m -3 m'
_symmetry_Int_Tables_number 221
_symmetry_space_group_name_Hall '-P 4 2 3'
_cell_length_a 3.674
_cell_length_b 3.674
_cell_length_c 3.674
_cell_angle_alpha 90.00
_cell_angle_beta 90.00
_cell_angle_gamma 90.00
loop_
_atom_site_label
_atom_site_fract_x
_atom_site_fract_y
_atom_site_fract_z
Co1 0.000 0.000 0.000
S1 0.500 0.500 0.500
O1 0.000 0.500 0.500

No. 3
# Co2S2O (GGA+U, optimized geometry)
# Total energy, eV per atom: -4.198
# D(E_F), states/eV/cell: 5.2
data_Co2S2O
_chemical_formula_sum 'Co4 S4 O2'
_symmetry_space_group_name_H-M 'P 4/m b m'
_symmetry_Int_Tables_number 127
_symmetry_space_group_name_Hall '-P 4 2ab'
_cell_length_a 6.525
_cell_length_b 6.525
_cell_length_c 3.297
_cell_angle_alpha 90.00
_cell_angle_beta 90.00
_cell_angle_gamma 90.00
loop_
_atom_site_label
_atom_site_fract_x
_atom_site_fract_y
_atom_site_fract_z
Co1 0.150 0.350 0.000
S1 0.170 0.670 0.500
O1 0.000 0.000 0.500

No. 4
# CoS3O (GGA+U, optimized geometry)
# Total energy, eV per atom: -3.576
# D(E_F), states/eV/cell: 2.5
data_CoS3O
_chemical_formula_sum 'Co1 S3 O1'
_symmetry_space_group_name_H-M 'P m -3 m'
_symmetry_Int_Tables_number 221
_symmetry_space_group_name_Hall '-P 4 2 3'
_cell_length_a 4.221
_cell_length_b 4.221
_cell_length_c 4.221
_cell_angle_alpha 90.00
_cell_angle_beta 90.00
_cell_angle_gamma 90.00
loop_
_atom_site_label
_atom_site_fract_x
_atom_site_fract_y
_atom_site_fract_z
Co1 0.000 0.000 0.000
S1 0.000 0.500 0.500
O1 0.500 0.500 0.500

No. 5
# Co2S2O (GGA+U, optimized geometry)
# Total energy, eV per atom: -4.191
# D(E_F), states/eV/cell: 6.8
data_Co2S2O
_chemical_formula_sum 'Co4 S4 O2'
_symmetry_space_group_name_H-M 'I 4/m m m'
_symmetry_Int_Tables_number 139
_symmetry_space_group_name_Hall '-I 4 2'
_cell_length_a 3.613
_cell_length_b 3.613
_cell_length_c 10.234
_cell_angle_alpha 90.00
_cell_angle_beta 90.00
_cell_angle_gamma 90.00
loop_
_atom_site_label
_atom_site_fract_x
_atom_site_fract_y
_atom_site_fract_z
Co1 0.000 0.500 0.250
S1 0.000 0.000 0.137
O1 0.000 0.000 0.500

No. 6
# CoS2O8 (GGA+U, optimized geometry)
# Total energy, eV per atom: -5.844
data_CoS2O8
_chemical_formula_sum 'Co2 S4 O16'
_symmetry_space_group_name_H-M 'C 1 2/m 1'
_symmetry_Int_Tables_number 12
_cell_length_a 8.841
_cell_length_b 8.588
_cell_length_c 4.638
_cell_angle_alpha 90.00
_cell_angle_beta 93.09
_cell_angle_gamma 90.00
loop_
_symmetry_equiv_pos_as_xyz
'x,y,z'
'-x,-y,-z'
'-x,y,-z'
'x,-y,z'
'x+1/2,y+1/2,z'
'-x+1/2,-y+1/2,-z'
'-x+1/2,y+1/2,-z'
'x+1/2,-y+1/2,z'
loop_
_atom_site_label
_atom_site_fract_x
_atom_site_fract_y
_atom_site_fract_z
Co1 0.000 0.000 0.000
S1 0.210 0.000 0.647
O1 0.121 0.134 0.790
O2 0.132 0.500 0.270
O3 0.176 0.000 0.334

No. 7
# CoSO (GGA+U, optimized geometry)
# Total energy, eV per atom: -5.020
# D(E_F), states/eV/cell: 5.8
data_CoSO
_chemical_formula_sum 'Co6 S6 O6'
_symmetry_space_group_name_H-M 'R -3 m'
_symmetry_Int_Tables_number 166
_symmetry_space_group_name_Hall '-R 3 2"'
_cell_length_a 2.9656
_cell_length_b 2.9656
_cell_length_c 33.9479
_cell_angle_alpha 90.00
_cell_angle_beta 90.00
_cell_angle_gamma 120.00
loop_
_atom_site_label
_atom_site_fract_x
_atom_site_fract_y
_atom_site_fract_z
Co1 0.0000 0.0000 0.0000
Co2 0.0000 0.0000 0.5000
S1 0.0000 0.0000 0.1248
O1 0.0000 0.0000 0.3070

No. 8
# Co2S3O12 (GGA+U, optimized geometry)
# Total energy, eV per atom: -5.990
data_Co2S3O12
_chemical_formula_sum 'Co12 S18 O72'
_symmetry_space_group_name_H-M 'R -3 c'
_symmetry_Int_Tables_number 167
_symmetry_space_group_name_Hall '-R 3 2"c'
_cell_length_a 8.5882
_cell_length_b 8.5882
_cell_length_c 21.2184
_cell_angle_alpha 90.00
_cell_angle_beta 90.00
_cell_angle_gamma 120.00
loop_
_atom_site_label
_atom_site_fract_x
_atom_site_fract_y
_atom_site_fract_z
Co1 0.0000 0.0000 0.1425
S1 0.0000 0.2923 0.2500
O1 0.0122 0.2028 0.1921
O2 0.0223 0.1931 0.9154

No. 9
# CoSO4 (GGA+U, optimized geometry)
# Total energy, eV per atom: -6.144
# D(E_F), states/eV/cell: 0.0
data_CoSO4
_chemical_formula_sum 'Co3 S3 O12'
_symmetry_space_group_name_H-M 'P 31 2 1'
_symmetry_Int_Tables_number 152
_cell_length_a 5.0279
_cell_length_b 5.0279
_cell_length_c 11.6626
_cell_angle_alpha 90.00
_cell_angle_beta 90.00
_cell_angle_gamma 120.00
loop_
_symmetry_equiv_pos_as_xyz
'x,y,z'
'-y,x-y,z+1/3'
'-x+y,-x,z+2/3'
'y,x,-z'
'x-y,-y,-z+2/3'
'-x,-x+y,-z+1/3'
loop_
_atom_site_label
_atom_site_fract_x
_atom_site_fract_y
_atom_site_fract_z
Co1 0.0000 0.4698 0.1667
S1 0.0000 0.4665 0.6667
O1 0.0771 0.6739 0.7673
O2 0.1603 0.7341 0.3030

No. 10
# CoS3O (GGA+U, optimized geometry)
# Total energy, eV per atom: -3.386
# D(E_F), states/eV/cell: 4.7
data_CoS3O
_chemical_formula_sum 'Co1 S3 O1'
_symmetry_space_group_name_H-M 'P m -3 m'
_symmetry_Int_Tables_number 221
_symmetry_space_group_name_Hall '-P 4 2 3'
_cell_length_a 4.394
_cell_length_b 4.394
_cell_length_c 4.394
_cell_angle_alpha 90.00
_cell_angle_beta 90.00
_cell_angle_gamma 90.00
loop_
_atom_site_label
_atom_site_fract_x
_atom_site_fract_y
_atom_site_fract_z
Co1 0.000 0.000 0.000
S1 0.000 0.000 0.500
O1 0.500 0.500 0.500

No. 11
# Co2S3O12 (GGA+U, optimized geometry)
# Total energy, eV per atom: -5.989
data_Co2S3O12
_chemical_formula_sum 'Co8 S12 O48'
_symmetry_space_group_name_H-M 'P b c n'
_symmetry_Int_Tables_number 60
_cell_length_a 11.798
_cell_length_b 8.516
_cell_length_c 8.567
_cell_angle_alpha 90.00
_cell_angle_beta 90.00
_cell_angle_gamma 90.00
loop_
_symmetry_equiv_pos_as_xyz
'x,y,z'
'-x,-y,-z'
'-x+1/2,-y+1/2,z+1/2'
'x+1/2,y+1/2,-z+1/2'
'x+1/2,-y+1/2,-z'
'-x+1/2,y+1/2,z'
'-x,y,-z+1/2'
'x,-y,z+1/2'
loop_
_atom_site_label
_atom_site_fract_x
_atom_site_fract_y
_atom_site_fract_z
Co1 0.122 0.249 0.046
S1 0.000 0.475 0.750
S2 0.149 0.095 0.389
O1 0.031 0.143 0.410
O2 0.045 0.378 0.876
O3 0.093 0.422 0.190
O4 0.156 0.082 0.903
O5 0.192 0.134 0.231
O6 0.220 0.166 0.512

No. 12
# CoS2O8 (GGA+U, optimized geometry)
# Total energy, eV per atom: -5.827
# D(E_F), states/eV/cell: 49.7
data_CoS2O8
_chemical_formula_sum 'Co9 S18 O72'
_symmetry_space_group_name_H-M 'R 3'
_symmetry_Int_Tables_number 146
_symmetry_space_group_name_Hall 'R 3'
_cell_length_a 8.5722
_cell_length_b 8.5722
_cell_length_c 21.9916
_cell_angle_alpha 90.00
_cell_angle_beta 90.00
_cell_angle_gamma 120.00
loop_
_atom_site_label
_atom_site_fract_x
_atom_site_fract_y
_atom_site_fract_z
Co1 0.0000 0.0000 0.0000
Co2 0.0000 0.0000 0.2081
Co3 0.0000 0.0000 0.7118
S1 0.9997 0.7042 0.6046
S2 0.0532 0.3777 0.7718
O1 0.0346 0.8266 0.9472
O2 0.0608 0.8217 0.5511
O3 0.0665 0.8522 0.2620
O4 0.1382 0.6733 0.3267
O5 0.1510 0.4728 0.4345
O6 0.1550 0.4621 0.7144
O7 0.1762 0.4262 0.1115
O8 0.1771 0.4469 0.8255

No. 13
# CoS2O2 (GGA+U, optimized geometry)
# Total energy, eV per atom: -4.626
# D(E_F), states/eV/cell: 1.4
data_CoS2O2
_chemical_formula_sum 'Co2 S4 O4'
_symmetry_space_group_name_H-M 'P 4/m b m'
_symmetry_Int_Tables_number 127
_symmetry_space_group_name_Hall '-P 4 2ab'
_cell_length_a 5.812
_cell_length_b 5.812
_cell_length_c 3.572
_cell_angle_alpha 90.00
_cell_angle_beta 90.00
_cell_angle_gamma 90.00
loop_
_atom_site_label
_atom_site_fract_x
_atom_site_fract_y
_atom_site_fract_z
Co1 0.000 0.000 0.000
S1 0.145 0.355 0.000
O1 0.157 0.343 0.500

No. 14
# CoS4O (GGA+U, optimized geometry)
# Total energy, eV per atom: -4.596
# D(E_F), states/eV/cell: 0.6
data_CoS4O
_chemical_formula_sum 'Co2 S8 O2'
_symmetry_space_group_name_H-M 'P -1'
_symmetry_Int_Tables_number 2
_cell_length_a 6.021
_cell_length_b 6.993
_cell_length_c 7.814
_cell_angle_alpha 71.55
_cell_angle_beta 79.24
_cell_angle_gamma 70.51
loop_
_symmetry_equiv_pos_as_xyz
'x,y,z'
'-x,-y,-z'
loop_
_atom_site_label
_atom_site_fract_x
_atom_site_fract_y
_atom_site_fract_z
Co1 0.029 0.223 0.469
S1 0.096 0.857 0.930
S2 0.134 0.995 0.283
S3 0.234 0.476 0.666
S4 0.341 0.321 0.477
O1 0.341 0.866 0.868

No. 15
# CoS2O2 (GGA+U, optimized geometry)
# Total energy, eV per atom: -3.766
# D(E_F), states/eV/cell: 5.0
data_CoS2O2
_chemical_formula_sum 'Co2 S4 O4'
_symmetry_space_group_name_H-M 'I 4/m m m'
_symmetry_Int_Tables_number 139
_symmetry_space_group_name_Hall '-I 4 2'
_cell_length_a 2.961
_cell_length_b 2.961
_cell_length_c 13.810
_cell_angle_alpha 90.00
_cell_angle_beta 90.00
_cell_angle_gamma 90.00
loop_
_atom_site_label
_atom_site_fract_x
_atom_site_fract_y
_atom_site_fract_z
Co1 0.000 0.000 0.000
S1 0.000 0.000 0.420
O1 0.000 0.500 0.250

No. 16
# CoSO4 (GGA+U, optimized geometry)
# Total energy, eV per atom: -6.150
# D(E_F), states/eV/cell: 0.0
data_CoSO4
_chemical_formula_sum 'Co4 S4 O16'
_symmetry_space_group_name_H-M 'C m c m'
_symmetry_Int_Tables_number 63
_symmetry_space_group_name_Hall '-C 2c 2'
_cell_length_a 5.229
_cell_length_b 8.004
_cell_length_c 6.640
_cell_angle_alpha 90.00
_cell_angle_beta 90.00
_cell_angle_gamma 90.00
loop_
_atom_site_label
_atom_site_fract_x
_atom_site_fract_y
_atom_site_fract_z
Co1 0.000 0.000 0.000
S1 0.000 0.347 0.250
O1 0.000 0.247 0.064
O2 0.235 0.458 0.250

No. 17
# CoSO2 (GGA+U, optimized geometry)
# Total energy, eV per atom: -5.225
# D(E_F), states/eV/cell: 3.7
data_CoSO2
_chemical_formula_sum 'Co3 S3 O6'
_symmetry_space_group_name_H-M 'R -3 m'
_symmetry_Int_Tables_number 166
_symmetry_space_group_name_Hall '-R 3 2"'
_cell_length_a 2.8805
_cell_length_b 2.8805
_cell_length_c 17.2731
_cell_angle_alpha 90.00
_cell_angle_beta 90.00
_cell_angle_gamma 120.00
loop_
_atom_site_label
_atom_site_fract_x
_atom_site_fract_y
_atom_site_fract_z
Co1 0.0000 0.0000 0.0000
S1 0.0000 0.0000 0.5000
O1 0.0000 0.0000 0.3898

No. 18
# Co3SO (GGA+U, optimized geometry)
# Total energy, eV per atom: -4.590
# D(E_F), states/eV/cell: 2.8
data_Co3SO
_chemical_formula_sum 'Co3 S1 O1'
_symmetry_space_group_name_H-M 'P m -3 m'
_symmetry_Int_Tables_number 221
_symmetry_space_group_name_Hall '-P 4 2 3'
_cell_length_a 3.941
_cell_length_b 3.941
_cell_length_c 3.941
_cell_angle_alpha 90.00
_cell_angle_beta 90.00
_cell_angle_gamma 90.00
loop_
_atom_site_label
_atom_site_fract_x
_atom_site_fract_y
_atom_site_fract_z
Co1 0.000 0.000 0.500
S1 0.500 0.500 0.500
O1 0.000 0.000 0.000

No. 19
# CoSi2SO (GGA+U, optimized geometry)
# Total energy, eV per atom: -4.869
# D(E_F), states/eV/cell: 1.4
data_CoSi2SO
_chemical_formula_sum 'Co1 Si2 S1 O1'
_symmetry_space_group_name_H-M 'P 4/m m m'
_symmetry_Int_Tables_number 123
_symmetry_space_group_name_Hall '-P 4 2'
_cell_length_a 4.550
_cell_length_b 4.550
_cell_length_c 3.492
_cell_angle_alpha 90.00
_cell_angle_beta 90.00
_cell_angle_gamma 90.00
loop_
_atom_site_label
_atom_site_fract_x
_atom_site_fract_y
_atom_site_fract_z
Co1 0.000 0.000 0.000
Si1 0.000 0.500 0.000
S1 0.500 0.500 0.500
O1 0.000 0.000 0.500